{"formula": "CaBe2Pd", "functional": "PBE", "state": "relaxed", "lattice": [[-2.2091, 2.2091, 7.7473], [2.2091, -2.2091, 7.7473], [2.2091, 2.2091, -7.7473]], "species": ["Ca", "Ca", "Be", "Be", "Be", "Be", "Pd", "Pd"], "frac_coords": [[0.3750, 0.6250, 0.7500], [0.6250, 0.3750, 0.2500], [0.0000, 0.0000, 0.0000], [0.0000, 0.0000, 0.5000], [0.0000, 0.5000, 0.0000], [0.5000, 0.0000, 0.5000], [0.1250, 0.8750, 0.2500], [0.8750, 0.1250, 0.7500]], "formation_energy_ev_per_atom": -0.074, "de_polymorph_ev_per_atom": 0.000, "dos_at_fermi_per_ev_fu": 2.0, "space_group": "I4_1/amd", "rho_g_cm3": 3.61, "total_energy_ha_per_atom": -0.137}